Record 1
A plane-wave DFT calculation with GGA-PBE was carried out for an optimized crystal structure of SnPPtO.

a b c (Å): 4.3680 4.3680 8.8316
angles (deg): 90.00 90.00 90.00
With the nearest neighbours (Å) after each atom.
Fractional positions:
1 Sn 0.7500 0.2500 0.5000  4 P 2.79, 4 Sn 3.09
2 P 0.7500 0.7500 0.3028  1 Pt 2.22
3 P 0.2500 0.2500 0.6972  1 Pt 2.22
4 O 0.2500 0.7500 0.0000  4 Pt 2.23
5 Pt 0.7500 0.7500 0.0513  1 P 2.22, 4 O 2.23
6 O 0.7500 0.2500 0.0000  4 Pt 2.23
7 Sn 0.2500 0.7500 0.5000  4 P 2.79, 4 Sn 3.09
8 Pt 0.2500 0.2500 0.9487  1 P 2.22, 4 O 2.23

---

Record 2
A plane-wave DFT calculation with GGA-PBE was carried out for an optimized crystal structure of LiInCuRe.

a b c (Å): 4.4425 4.4425 4.4425
angles (deg): 60.00 60.00 60.00
With the nearest neighbours (Å) after each atom.
Fractional positions:
1 Li 0.5000 0.5000 0.5000  4 Re 2.72, 4 Cu 2.72
2 Cu 0.7500 0.7500 0.7500  4 Li 2.72, 4 In 2.72
3 In 0.0000 0.0000 0.0000  4 Cu 2.72, 4 Re 2.72
4 Re 0.2500 0.2500 0.2500  4 Li 2.72, 4 In 2.72

---

Final energy (eV per cell)
-39.15; -18.35